[1]
An optimized crystal structure of Mg4Pt3. Source: Alexandria via LeMat-Bulk, functional PBE.

Computed properties:
Symmetry: P6/mmm (191)
Density in g cm⁻³: 9.042
Formation enthalpy at 0 K in eV/atom: -0.54
Calculated total energy in eV per atom: -4.042
Energy relative to the lowest polymorph listed for this composition in eV/atom: 0.2341
D(E_F) in states/eV per atom: 0.486
Crystal system: hexagonal

Cell: 5.3843 5.3843 4.9919 Å, 90.00 90.00 120.00°
Closest atoms and distances in Å follow each position.
Sites, in units of the cell vectors:
1 Mg 0.0000 0.0000 0.2427  2 Mg 2.42-2.57
2 Mg 0.0000 0.0000 0.7573  2 Mg 2.42-2.57
3 Mg 0.3333 0.6667 0.5000  6 Pt 2.94, 3 Mg 3.11
4 Mg 0.6667 0.3333 0.5000  6 Pt 2.94, 3 Mg 3.11
5 Pt 0.0000 0.5000 0.0000  4 Pt 2.69, 8 Mg 2.94-2.95
6 Pt 0.5000 0.0000 0.0000  4 Pt 2.69, 8 Mg 2.94-2.95
7 Pt 0.5000 0.5000 0.0000  4 Pt 2.69, 8 Mg 2.94-2.95


[2]
An optimized crystal structure of BeCd2W. Source: Alexandria via LeMat-Bulk, functional PBE.

Computed properties:
Symmetry: R-3m (166)
Density in g cm⁻³: 10.425
Formation enthalpy at 0 K in eV/atom: 0.65
Calculated total energy in eV per atom: -3.982
D(E_F) in states/eV per atom: 0.689
Crystal system: trigonal

Cell: 9.3142 9.3142 9.3142 Å, 17.88 17.88 17.88°
Closest atoms and distances in Å follow each position.
Sites, in units of the cell vectors:
1 Be 0.0000 0.0000 0.0000  6 Cd 2.68, 6 Be 2.90
2 Cd 0.2572 0.2572 0.2572  3 Be 2.68, 6 Cd 2.90, 3 W 3.00
3 Cd 0.7428 0.7428 0.7428  3 Be 2.68, 6 Cd 2.90, 3 W 3.00
4 W 0.5000 0.5000 0.5000  6 W 2.90, 6 Cd 3.00


[3]
An optimized crystal structure of TbZn2Cu. Source: Alexandria via LeMat-Bulk, functional PBE.

Computed properties:
Symmetry: Fm-3m (225)
Density in g cm⁻³: 8.361
Formation enthalpy at 0 K in eV/atom: -0.22
Calculated total energy in eV per atom: -3.037
D(E_F) in states/eV per atom: 0.547
Crystal system: cubic

Cell: 4.6297 4.6297 4.6297 Å, 60.00 60.00 60.00°
Closest atoms and distances in Å follow each position.
Sites, in units of the cell vectors:
1 Tb 0.0000 0.0000 0.0000  8 Zn 2.84
2 Zn 0.2500 0.2500 0.2500  4 Cu 2.84, 4 Tb 2.84
3 Zn 0.7500 0.7500 0.7500  4 Cu 2.84, 4 Tb 2.84
4 Cu 0.5000 0.5000 0.5000  8 Zn 2.84